(1)
# Ac7La3Dy2 (PBE, relaxed)
# **Final energy**: -0.3154 Ry per atom
# **V**: 492 Å³/cell
# **D(E_F)**: 1.634 states/eV per atom
# **Formation energy**: 104 meV per atom
data_Ac7La3Dy2
_chemical_formula_sum 'Ac7 La3 Dy2'
_cell_length_a 6.987
_cell_length_b 3.791
_cell_length_c 18.699
_cell_angle_alpha 90.00
_cell_angle_beta 96.22
_cell_angle_gamma 90.00
_space_group_name_H-M_alt 'P 1 2/m 1'
_space_group_IT_number 10
_space_group_name_Hall '-P 2y'
loop_
_atom_site_label
_atom_site_fract_x
_atom_site_fract_y
_atom_site_fract_z
Ac1 0.000 0.000 0.000
Ac2 0.227 0.500 0.175
Ac3 0.253 0.500 0.495
Ac4 0.273 0.000 0.828
La1 0.460 0.000 0.342
La2 0.500 0.500 0.000
Dy1 0.056 0.500 0.669

=====

(2)
# Ac2LaDy4 (PBE, relaxed)
# **Final energy**: -0.3092 Ry per atom
# **V**: 1046 Å³/cell
# **D(E_F)**: 1.707 states/eV per atom
# **Formation energy**: 300 meV per atom
data_Ac2LaDy4
_chemical_formula_sum 'Ac8 La4 Dy16'
_cell_length_a 10.143
_cell_length_b 10.143
_cell_length_c 10.171
_cell_angle_alpha 90.00
_cell_angle_beta 90.00
_cell_angle_gamma 90.00
_space_group_name_H-M_alt 'I -4 2 d'
_space_group_IT_number 122
_space_group_name_Hall 'I -4 2bw'
loop_
_atom_site_label
_atom_site_fract_x
_atom_site_fract_y
_atom_site_fract_z
Ac1 0.119 0.250 0.125
La1 0.000 0.000 0.500
Dy1 0.082 0.170 0.784

=====

(3)
# Ac15La4Dy (PBE, relaxed)
# **Final energy**: -0.3139 Ry per atom
# **V**: 855 Å³/cell
# **D(E_F)**: 1.992 states/eV per atom
# **Formation energy**: 26 meV per atom
data_Ac15La4Dy
_chemical_formula_sum 'Ac15 La4 Dy1'
_cell_length_a 5.554
_cell_length_b 5.554
_cell_length_c 27.723
_cell_angle_alpha 90.00
_cell_angle_beta 90.00
_cell_angle_gamma 90.00
_space_group_name_H-M_alt 'P 4/m m m'
_space_group_IT_number 123
_space_group_name_Hall '-P 4 2'
loop_
_atom_site_label
_atom_site_fract_x
_atom_site_fract_y
_atom_site_fract_z
Ac1 0.000 0.000 0.000
Ac2 0.000 0.000 0.198
Ac3 0.000 0.000 0.400
Ac4 0.000 0.500 0.098
Ac5 0.000 0.500 0.299
Ac6 0.000 0.500 0.500
La1 0.500 0.500 0.199
La2 0.500 0.500 0.400
Dy1 0.500 0.500 0.000

=====

(4)
# Ac4La7Dy (PBE, relaxed)
# **Final energy**: -0.3382 Ry per atom
# **V**: 471 Å³/cell
# **D(E_F)**: 1.555 states/eV per atom
# **Formation energy**: 26 meV per atom
data_Ac4La7Dy
_chemical_formula_sum 'Ac4 La7 Dy1'
_cell_length_a 6.652
_cell_length_b 7.660
_cell_length_c 9.514
_cell_angle_alpha 90.08
_cell_angle_beta 103.51
_cell_angle_gamma 90.08
_space_group_name_H-M_alt 'P -1'
_space_group_IT_number 2
_space_group_name_Hall '-P 1'
loop_
_atom_site_label
_atom_site_fract_x
_atom_site_fract_y
_atom_site_fract_z
Ac1 0.222 0.241 0.173
Ac2 0.271 0.500 0.829
La1 0.002 0.758 0.496
La2 0.226 0.755 0.175
La3 0.282 0.001 0.828
La4 0.500 0.500 0.500
Dy1 0.500 0.000 0.500

=====

(5)
# Ac3LaDy2 (PBE, relaxed)
# **Final energy**: -0.3173 Ry per atom
# **V**: 938 Å³/cell
# **D(E_F)**: 1.539 states/eV per atom
# **Formation energy**: 93 meV per atom
data_Ac3LaDy2
_chemical_formula_sum 'Ac12 La4 Dy8'
_cell_length_a 12.105
_cell_length_b 7.453
_cell_length_c 11.964
_cell_angle_alpha 90.00
_cell_angle_beta 119.64
_cell_angle_gamma 90.00
_space_group_name_H-M_alt 'C 1 2/c 1'
_space_group_IT_number 15
_space_group_name_Hall '-C 2yc'
loop_
_atom_site_label
_atom_site_fract_x
_atom_site_fract_y
_atom_site_fract_z
Ac1 0.000 0.245 0.250
Ac2 0.172 0.496 0.086
La1 0.000 0.246 0.750
Dy1 0.157 0.002 0.579

=====

(6)
# AcLaDy2 (PBE, relaxed)
# **E above lowest polymorph**: 5.9 meV per atom
# **Final energy**: -0.3320 Ry per atom
# **V**: 144 Å³/cell
# **D(E_F)**: 1.656 states/eV per atom
# **Formation energy**: 43 meV per atom
data_AcLaDy2
_chemical_formula_sum 'Ac1 La1 Dy2'
_cell_length_a 3.801
_cell_length_b 3.801
_cell_length_c 9.962
_cell_angle_alpha 90.00
_cell_angle_beta 90.00
_cell_angle_gamma 90.00
_space_group_name_H-M_alt 'P 4/m m m'
_space_group_IT_number 123
_space_group_name_Hall '-P 4 2'
loop_
_atom_site_label
_atom_site_fract_x
_atom_site_fract_y
_atom_site_fract_z
Ac1 0.000 0.000 0.000
La1 0.000 0.000 0.500
Dy1 0.500 0.500 0.258

=====

(7)
# AcLa3Dy2 (PBE, relaxed)
# **E above lowest polymorph**: 0.0 meV per atom
# **Final energy**: -0.3412 Ry per atom
# **V**: 1745 Å³/cell
# **D(E_F)**: 1.911 states/eV per atom
# **Formation energy**: 40 meV per atom
data_AcLa3Dy2
_chemical_formula_sum 'Ac8 La24 Dy16'
_cell_length_a 7.439
_cell_length_b 10.531
_cell_length_c 22.277
_cell_angle_alpha 90.00
_cell_angle_beta 90.00
_cell_angle_gamma 90.00
_space_group_name_H-M_alt 'F d d d'
_space_group_IT_number 70
loop_
_space_group_symop_operation_xyz
'x,y,z'
'-x,-y,-z'
'-x+1/4,-y+1/4,z'
'x+1/4,y+1/4,-z'
'x,-y+1/4,-z+1/4'
'-x,y+1/4,z+1/4'
'-x+1/4,y,-z+1/4'
'x+1/4,-y,z+1/4'
'x,y+1/2,z+1/2'
'-x,-y+1/2,-z+1/2'
'-x+1/4,-y+3/4,z+1/2'
'x+1/4,y+3/4,-z+1/2'
'x,-y+3/4,-z+3/4'
'-x,y+3/4,z+3/4'
'-x+1/4,y+1/2,-z+3/4'
'x+1/4,-y+1/2,z+3/4'
'x+1/2,y,z+1/2'
'-x+1/2,-y,-z+1/2'
'-x+3/4,-y+1/4,z+1/2'
'x+3/4,y+1/4,-z+1/2'
'x+1/2,-y+1/4,-z+3/4'
'-x+1/2,y+1/4,z+3/4'
'-x+3/4,y,-z+3/4'
'x+3/4,-y,z+3/4'
'x+1/2,y+1/2,z'
'-x+1/2,-y+1/2,-z'
'-x+3/4,-y+3/4,z'
'x+3/4,y+3/4,-z'
'x+1/2,-y+3/4,-z+1/4'
'-x+1/2,y+3/4,z+1/4'
'-x+3/4,y+1/2,-z+1/4'
'x+3/4,-y+1/2,z+1/4'
loop_
_atom_site_label
_atom_site_fract_x
_atom_site_fract_y
_atom_site_fract_z
Ac1 0.125 0.125 0.125
La1 0.125 0.125 0.459
La2 0.125 0.125 0.625
Dy1 0.125 0.125 0.291

=====

(8)
# AcLaDy2 (PBE, relaxed)
# **E above lowest polymorph**: 1.1 meV per atom
# **Final energy**: -0.3324 Ry per atom
# **V**: 429 Å³/cell
# **D(E_F)**: 1.236 states/eV per atom
# **Formation energy**: 38 meV per atom
data_AcLaDy2
_chemical_formula_sum 'Ac3 La3 Dy6'
_cell_length_a 3.7402
_cell_length_b 3.7402
_cell_length_c 35.4414
_cell_angle_alpha 90.00
_cell_angle_beta 90.00
_cell_angle_gamma 120.00
_space_group_name_H-M_alt 'R -3 m'
_space_group_IT_number 166
_space_group_name_Hall '-R 3 2"'
loop_
_atom_site_label
_atom_site_fract_x
_atom_site_fract_y
_atom_site_fract_z
Ac1 0.0000 0.0000 0.0000
La1 0.0000 0.0000 0.5000
Dy1 0.0000 0.0000 0.2486